## Ho6SnSe3S2 (GGA-PBE)

Data for a geometry-optimized Ho6SnSe3S2 structure.

Cell lengths 17.782, 4.037, 8.184 Å; angles 90.00, 103.87, 90.00 degrees
Space group C2/m (No. 12)
Inequivalent atoms, fractional coordinates:
Ho1 0.007 0.000 0.262 (multiplicity 4)
Ho2 0.171 0.500 0.106 (multiplicity 4)
Ho3 0.173 0.500 0.573 (multiplicity 4)
Sn1 0.000 0.500 0.000 (multiplicity 2)
Se1 0.000 0.500 0.500 (multiplicity 2)
Se2 0.164 0.000 0.832 (multiplicity 4)
S1 0.169 0.000 0.338 (multiplicity 4)

Properties
Formation energy without anion corrections: -1.62 eV/atom
Final energy: -5.804 eV/atom